The following is a PBE+U calculation of a relaxed Fe4P6O21 crystal, from Alexandria.

Cell lengths 7.545, 21.767, 12.205 Å; angles 90.00, 127.81, 90.00 degrees
Atoms (fractional coordinates):
1 Fe 0.132 0.243 0.217
2 Fe 0.132 0.257 0.717
3 Fe 0.291 0.013 0.262
4 Fe 0.291 0.487 0.762
5 Fe 0.292 0.739 0.299
6 Fe 0.292 0.761 0.799
7 Fe 0.298 0.009 0.743
8 Fe 0.298 0.491 0.243
9 Fe 0.702 0.509 0.757
10 Fe 0.702 0.991 0.257
11 Fe 0.708 0.239 0.201
12 Fe 0.708 0.261 0.701
13 Fe 0.709 0.513 0.238
14 Fe 0.709 0.987 0.738
15 Fe 0.868 0.743 0.283
16 Fe 0.868 0.757 0.783
17 P 0.049 0.113 0.330
18 P 0.049 0.387 0.830
19 P 0.195 0.184 0.986
20 P 0.195 0.316 0.486
21 P 0.217 0.045 0.968
22 P 0.217 0.455 0.468
23 P 0.231 0.560 0.970
24 P 0.231 0.940 0.470
25 P 0.342 0.699 0.056
26 P 0.342 0.801 0.556
27 P 0.364 0.145 0.652
28 P 0.364 0.355 0.152
29 P 0.636 0.645 0.848
30 P 0.636 0.855 0.348
31 P 0.658 0.199 0.444
32 P 0.658 0.301 0.944
33 P 0.769 0.060 0.530
34 P 0.769 0.440 0.030
35 P 0.783 0.545 0.532
36 P 0.783 0.955 0.032
37 P 0.805 0.684 0.514
38 P 0.805 0.816 0.014
39 P 0.951 0.613 0.170
40 P 0.951 0.887 0.670
41 O 0.011 0.004 0.892
42 O 0.011 0.496 0.392
43 O 0.015 0.049 0.604
44 O 0.015 0.451 0.104
45 O 0.043 0.673 0.257
46 O 0.043 0.827 0.757
47 O 0.056 0.216 0.843
48 O 0.056 0.284 0.343
49 O 0.119 0.202 0.072
50 O 0.119 0.298 0.572
51 O 0.124 0.113 0.952
52 O 0.124 0.387 0.452
53 O 0.143 0.570 0.214
54 O 0.143 0.930 0.714
55 O 0.175 0.132 0.488
56 O 0.175 0.368 0.988
57 O 0.207 0.738 0.922
58 O 0.207 0.762 0.422
59 O 0.226 0.085 0.321
60 O 0.226 0.415 0.821
61 O 0.241 0.179 0.698
62 O 0.241 0.321 0.198
63 O 0.260 0.711 0.140
64 O 0.260 0.789 0.640
65 O 0.276 0.631 0.004
66 O 0.276 0.869 0.504
67 O 0.313 0.547 0.886
68 O 0.313 0.953 0.386
69 O 0.342 0.043 0.907
70 O 0.342 0.457 0.407
71 O 0.372 0.526 0.111
72 O 0.372 0.974 0.611
73 O 0.373 0.029 0.126
74 O 0.373 0.471 0.626
75 O 0.411 0.207 0.371
76 O 0.411 0.293 0.871
77 O 0.447 0.189 0.062
78 O 0.447 0.311 0.562
79 O 0.450 0.683 0.830
80 O 0.450 0.817 0.330
81 O 0.453 0.083 0.728
82 O 0.453 0.417 0.228
83 O 0.547 0.583 0.772
84 O 0.547 0.917 0.272
85 O 0.550 0.183 0.670
86 O 0.550 0.317 0.170
87 O 0.553 0.689 0.438
88 O 0.553 0.811 0.938
89 O 0.589 0.707 0.129
90 O 0.589 0.793 0.629
91 O 0.627 0.529 0.374
92 O 0.627 0.971 0.874
93 O 0.628 0.026 0.389
94 O 0.628 0.474 0.889
95 O 0.658 0.543 0.593
96 O 0.658 0.957 0.093
97 O 0.687 0.047 0.614
98 O 0.687 0.453 0.114
99 O 0.724 0.131 0.496
100 O 0.724 0.369 0.996
101 O 0.740 0.211 0.360
102 O 0.740 0.289 0.860
103 O 0.759 0.679 0.802
104 O 0.759 0.821 0.302
105 O 0.774 0.585 0.179
106 O 0.774 0.915 0.679
107 O 0.793 0.238 0.578
108 O 0.793 0.262 0.078
109 O 0.825 0.632 0.012
110 O 0.825 0.868 0.512
111 O 0.857 0.070 0.286
112 O 0.857 0.430 0.786
113 O 0.876 0.613 0.548
114 O 0.876 0.887 0.048
115 O 0.881 0.702 0.428
116 O 0.881 0.798 0.928
117 O 0.944 0.716 0.657
118 O 0.944 0.784 0.157
119 O 0.957 0.173 0.243
120 O 0.957 0.327 0.743
121 O 0.985 0.549 0.896
122 O 0.985 0.951 0.396
123 O 0.989 0.504 0.608
124 O 0.989 0.996 0.108

Properties
- symmetry = P2_1/c
- total DFT energy (no corrections) (eV per atom) = -7.124